# 1
Rb2Pm2InO6: relaxed, GGA-PBE.

uncorrected formation energy = -206.2 kJ per mole of atoms
calculated total energy = -67.43 eV per formula unit
SG = C2/m
calculated volume = 218 Å³ per cell

```
data_Rb2Pm2InO6
_chemical_formula_sum 'Rb2 Pm2 In1 O6'
_space_group_name_H-M_alt 'P 1'
_space_group_IT_number 1
_cell_length_a 6.1403
_cell_length_b 6.1403
_cell_length_c 6.9522
_cell_angle_alpha 97.66
_cell_angle_beta 97.66
_cell_angle_gamma 120.38
loop_
_space_group_symop_operation_xyz
'x,y,z'
loop_
_atom_site_label
_atom_site_fract_x
_atom_site_fract_y
_atom_site_fract_z
_atom_site_occupancy
Rb1 0.8386 0.1614 0.0000 1
Rb2 0.1614 0.8386 0.0000 1
Pm1 0.3363 0.6637 0.5000 1
Pm2 0.6637 0.3363 0.5000 1
In1 0.0000 0.0000 0.5000 1
O1 0.7425 0.7425 0.6685 1
O2 0.0449 0.3737 0.6702 1
O3 0.2575 0.2575 0.3315 1
O4 0.3737 0.0449 0.6702 1
O5 0.9551 0.6263 0.3298 1
O6 0.6263 0.9551 0.3298 1
```

# 2
Nd2Sm2Th15: relaxed, GGA-PBE.

ΔH_f (0 K) = 5.17 eV per formula unit
calculated total energy = -125.10 eV per formula unit
SG = R-3m
calculated volume = 660 Å³ per cell

```
data_Nd2Sm2Th15
_chemical_formula_sum 'Nd2 Sm2 Th15'
_space_group_name_H-M_alt 'P 1'
_space_group_IT_number 1
_cell_length_a 8.7842
_cell_length_b 8.7842
_cell_length_c 8.7842
_cell_angle_alpha 82.16
_cell_angle_beta 82.16
_cell_angle_gamma 82.16
loop_
_space_group_symop_operation_xyz
'x,y,z'
loop_
_atom_site_label
_atom_site_fract_x
_atom_site_fract_y
_atom_site_fract_z
_atom_site_occupancy
Nd1 0.6510 0.6510 0.6510 1
Nd2 0.3490 0.3490 0.3490 1
Sm1 0.8977 0.8977 0.8977 1
Sm2 0.1023 0.1023 0.1023 1
Th1 0.0000 0.5000 0.0000 1
Th2 0.0000 0.0000 0.5000 1
Th3 0.5000 0.0000 0.0000 1
Th4 0.3079 0.0000 0.6921 1
Th5 0.6921 0.3079 0.0000 1
Th6 0.0000 0.6921 0.3079 1
Th7 0.3079 0.6921 0.0000 1
Th8 0.0000 0.3079 0.6921 1
Th9 0.6921 0.0000 0.3079 1
Th10 0.3431 0.8225 0.3431 1
Th11 0.3431 0.3431 0.8225 1
Th12 0.8225 0.3431 0.3431 1
Th13 0.6569 0.1775 0.6569 1
Th14 0.6569 0.6569 0.1775 1
Th15 0.1775 0.6569 0.6569 1
```

# 3
AlCrCl2: relaxed, GGA-PBE.

uncorrected formation energy = -8.2 kJ per mole of atoms
calculated total energy = -17.40 eV per formula unit
energy relative to the lowest polymorph listed for this composition = 469 meV/atom
SG = R-3m
calculated volume = 99 Å³ per cell

```
data_AlCrCl2
_chemical_formula_sum 'Al1 Cr1 Cl2'
_space_group_name_H-M_alt 'P 1'
_space_group_IT_number 1
_cell_length_a 9.0737
_cell_length_b 9.0737
_cell_length_c 9.0737
_cell_angle_alpha 22.87
_cell_angle_beta 22.87
_cell_angle_gamma 22.87
loop_
_space_group_symop_operation_xyz
'x,y,z'
loop_
_atom_site_label
_atom_site_fract_x
_atom_site_fract_y
_atom_site_fract_z
_atom_site_occupancy
Cr1 0.0000 0.0000 0.0000 1
Al1 0.5000 0.5000 0.5000 1
Cl1 0.9131 0.9131 0.9131 1
Cl2 0.0869 0.0869 0.0869 1
```

# 4
Ce4MnTl: relaxed, GGA-PBE.

ΔH_f (0 K) = -0.08 eV per formula unit
calculated total energy = -35.35 eV per formula unit
SG = C2/c
calculated volume = 308 Å³ per cell

```
data_Ce4MnTl
_chemical_formula_sum 'Ce8 Mn2 Tl2'
_space_group_name_H-M_alt 'P 1'
_space_group_IT_number 1
_cell_length_a 7.1714
_cell_length_b 7.1713
_cell_length_c 9.2186
_cell_angle_alpha 118.89
_cell_angle_beta 118.89
_cell_angle_gamma 100.08
loop_
_space_group_symop_operation_xyz
'x,y,z'
loop_
_atom_site_label
_atom_site_fract_x
_atom_site_fract_y
_atom_site_fract_z
_atom_site_occupancy
Ce1 0.0024 0.7465 0.5047 1
Ce2 0.2535 0.9976 0.9953 1
Ce3 0.3542 0.5706 0.3894 1
Ce4 0.4294 0.6458 0.1107 1
Ce5 0.9976 0.2535 0.4953 1
Ce6 0.6458 0.4294 0.6106 1
Ce7 0.7465 0.0024 0.0047 1
Ce8 0.5706 0.3542 0.8893 1
Mn1 0.3640 0.6360 0.7500 1
Mn2 0.6360 0.3640 0.2500 1
Tl1 0.8671 0.1329 0.7500 1
Tl2 0.1329 0.8671 0.2500 1
```

# 5
PaClO2: relaxed, GGA-PBE.

uncorrected formation energy = -287.3 kJ per mole of atoms
calculated total energy = -33.17 eV per formula unit
energy relative to the lowest polymorph listed for this composition = 0 meV/atom
SG = R3m
calculated volume = 67 Å³ per cell

```
data_PaClO2
_chemical_formula_sum 'Pa1 Cl1 O2'
_space_group_name_H-M_alt 'P 1'
_space_group_IT_number 1
_cell_length_a 3.7720
_cell_length_b 3.7720
_cell_length_c 5.8411
_cell_angle_alpha 71.16
_cell_angle_beta 71.16
_cell_angle_gamma 60.00
loop_
_space_group_symop_operation_xyz
'x,y,z'
loop_
_atom_site_label
_atom_site_fract_x
_atom_site_fract_y
_atom_site_fract_z
_atom_site_occupancy
Pa1 0.6674 0.6674 0.9979 1
Cl1 0.4998 0.4998 0.5006 1
O1 0.0358 0.0358 0.8927 1
O2 0.2971 0.2971 0.1088 1
```

# 6
P3IrW: relaxed, GGA-PBE.

ΔH_f (0 K) = 5.74 eV per formula unit
calculated total energy = -32.30 eV per formula unit
energy relative to the lowest polymorph listed for this composition = 0 meV/atom
SG = Pm-3m
calculated volume = 98 Å³ per cell

```
data_P3IrW
_chemical_formula_sum 'P3 Ir1 W1'
_space_group_name_H-M_alt 'P 1'
_space_group_IT_number 1
_cell_length_a 4.6151
_cell_length_b 4.6151
_cell_length_c 4.6151
_cell_angle_alpha 90.00
_cell_angle_beta 90.00
_cell_angle_gamma 90.00
loop_
_space_group_symop_operation_xyz
'x,y,z'
loop_
_atom_site_label
_atom_site_fract_x
_atom_site_fract_y
_atom_site_fract_z
_atom_site_occupancy
P1 0.0000 0.5000 0.0000 1
P2 0.0000 0.0000 0.5000 1
P3 0.5000 0.0000 0.0000 1
Ir1 0.5000 0.5000 0.5000 1
W1 0.0000 0.0000 0.0000 1
```

# 7
VTc2Mo6: relaxed, GGA-PBE.

ΔH_f (0 K) = -0.45 eV per formula unit
calculated total energy = -95.28 eV per formula unit
SG = C2/m
calculated volume = 138 Å³ per cell

```
data_VTc2Mo6
_chemical_formula_sum 'V1 Tc2 Mo6'
_space_group_name_H-M_alt 'P 1'
_space_group_IT_number 1
_cell_length_a 3.1362
_cell_length_b 5.1971
_cell_length_c 9.2135
_cell_angle_alpha 75.44
_cell_angle_beta 80.20
_cell_angle_gamma 72.44
loop_
_space_group_symop_operation_xyz
'x,y,z'
loop_
_atom_site_label
_atom_site_fract_x
_atom_site_fract_y
_atom_site_fract_z
_atom_site_occupancy
V1 0.0000 0.0000 0.0000 1
Tc1 0.3363 0.1112 0.2162 1
Tc2 0.6637 0.8888 0.7838 1
Mo1 0.6643 0.5628 0.1085 1
Mo2 0.3357 0.4372 0.8915 1
Mo3 0.3322 0.7804 0.5551 1
Mo4 0.0027 0.6641 0.3305 1
Mo5 0.9973 0.3359 0.6695 1
Mo6 0.6678 0.2196 0.4449 1
```

# 8
La2Dy5YHo: relaxed, GGA-PBE.

ΔH_f (0 K) = 1.27 eV per formula unit
calculated total energy = -42.63 eV per formula unit
SG = Cmc2_1
calculated volume = 605 Å³ per cell

```
data_La2Dy5YHo
_chemical_formula_sum 'La4 Dy10 Y2 Ho2'
_space_group_name_H-M_alt 'P 1'
_space_group_IT_number 1
_cell_length_a 5.6573
_cell_length_b 10.3675
_cell_length_c 10.7147
_cell_angle_alpha 90.00
_cell_angle_beta 90.00
_cell_angle_gamma 105.83
loop_
_space_group_symop_operation_xyz
'x,y,z'
loop_
_atom_site_label
_atom_site_fract_x
_atom_site_fract_y
_atom_site_fract_z
_atom_site_occupancy
La1 0.8846 0.7692 0.8180 1
La2 0.1131 0.2262 0.7332 1
La3 0.1154 0.2308 0.3180 1
La4 0.8869 0.7738 0.2332 1
Dy1 0.3873 0.7746 0.0215 1
Dy2 0.7196 0.4393 0.8083 1
Dy3 0.4804 0.9607 0.7400 1
Dy4 0.2993 0.5986 0.7070 1
Dy5 0.9841 0.9681 0.5235 1
Dy6 0.6127 0.2254 0.5215 1
Dy7 0.2804 0.5607 0.3083 1
Dy8 0.5196 0.0393 0.2400 1
Dy9 0.7007 0.4014 0.2070 1
Dy10 0.0159 0.0319 0.0235 1
Y1 0.5880 0.1760 0.9608 1
Y2 0.4120 0.8240 0.4608 1
Ho1 0.7993 0.5985 0.5115 1
Ho2 0.2007 0.4015 0.0115 1
```

# 9
CaHf3I: relaxed, GGA-PBE.

uncorrected formation energy = 87.9 kJ per mole of atoms
calculated total energy = -28.86 eV per formula unit
energy relative to the lowest polymorph listed for this composition = 0 meV/atom
SG = Pm-3m
calculated volume = 149 Å³ per cell

```
data_CaHf3I
_chemical_formula_sum 'Ca1 Hf3 I1'
_space_group_name_H-M_alt 'P 1'
_space_group_IT_number 1
_cell_length_a 5.2960
_cell_length_b 5.2960
_cell_length_c 5.2960
_cell_angle_alpha 90.00
_cell_angle_beta 90.00
_cell_angle_gamma 90.00
loop_
_space_group_symop_operation_xyz
'x,y,z'
loop_
_atom_site_label
_atom_site_fract_x
_atom_site_fract_y
_atom_site_fract_z
_atom_site_occupancy
I1 0.0000 0.0000 0.0000 1
Ca1 0.5000 0.5000 0.5000 1
Hf1 0.0000 0.5000 0.0000 1
Hf2 0.0000 0.0000 0.5000 1
Hf3 0.5000 0.0000 0.0000 1
```

# 10
GaCoCl4: relaxed, GGA-PBE.

uncorrected formation energy = -65.2 kJ per mole of atoms
calculated total energy = -21.57 eV per formula unit
SG = P-42c
calculated volume = 332 Å³ per cell

```
data_GaCoCl4
_chemical_formula_sum 'Ga2 Co2 Cl8'
_space_group_name_H-M_alt 'P 1'
_space_group_IT_number 1
_cell_length_a 5.6400
_cell_length_b 5.6400
_cell_length_c 10.4332
_cell_angle_alpha 90.00
_cell_angle_beta 90.00
_cell_angle_gamma 90.00
loop_
_space_group_symop_operation_xyz
'x,y,z'
loop_
_atom_site_label
_atom_site_fract_x
_atom_site_fract_y
_atom_site_fract_z
_atom_site_occupancy
Ga1 0.0000 0.5000 0.2500 1
Ga2 0.5000 0.0000 0.7500 1
Co1 0.0000 0.0000 0.0000 1
Co2 0.0000 0.0000 0.5000 1
Cl1 0.2591 0.2197 0.8769 1
Cl2 0.7409 0.7803 0.8769 1
Cl3 0.2197 0.2591 0.3769 1
Cl4 0.2591 0.7803 0.6231 1
Cl5 0.7409 0.2197 0.6231 1
Cl6 0.2197 0.7409 0.1231 1
Cl7 0.7803 0.2591 0.1231 1
Cl8 0.7803 0.7409 0.3769 1
```

# 11
Sr2NbRePd: relaxed, GGA-PBE.

ΔH_f (0 K) = 6.04 eV per formula unit
calculated total energy = -25.03 eV per formula unit
SG = P4/mmm
calculated volume = 166 Å³ per cell

```
data_Sr2NbRePd
_chemical_formula_sum 'Sr2 Nb1 Re1 Pd1'
_space_group_name_H-M_alt 'P 1'
_space_group_IT_number 1
_cell_length_a 6.0392
_cell_length_b 4.5509
_cell_length_c 6.0392
_cell_angle_alpha 90.00
_cell_angle_beta 90.00
_cell_angle_gamma 90.00
loop_
_space_group_symop_operation_xyz
'x,y,z'
loop_
_atom_site_label
_atom_site_fract_x
_atom_site_fract_y
_atom_site_fract_z
_atom_site_occupancy
Re1 0.0000 0.5000 0.0000 1
Nb1 0.0000 0.0000 0.0000 1
Pd1 0.5000 0.5000 0.5000 1
Sr1 0.0000 0.0000 0.5000 1
Sr2 0.5000 0.0000 0.0000 1
```

# 12
PaSnS: relaxed, GGA-PBE.

uncorrected formation energy = -98.5 kJ per mole of atoms
calculated total energy = -20.69 eV per formula unit
energy relative to the lowest polymorph listed for this composition = 0 meV/atom
SG = I4/mmm
calculated volume = 137 Å³ per cell

```
data_PaSnS
_chemical_formula_sum 'Pa2 Sn2 S2'
_space_group_name_H-M_alt 'P 1'
_space_group_IT_number 1
_cell_length_a 4.0129
_cell_length_b 4.0129
_cell_length_c 8.9504
_cell_angle_alpha 102.95
_cell_angle_beta 102.95
_cell_angle_gamma 90.00
loop_
_space_group_symop_operation_xyz
'x,y,z'
loop_
_atom_site_label
_atom_site_fract_x
_atom_site_fract_y
_atom_site_fract_z
_atom_site_occupancy
Pa1 0.3438 0.3438 0.6876 1
Pa2 0.6562 0.6562 0.3124 1
Sn1 0.0000 0.5000 0.0000 1
Sn2 0.5000 0.0000 0.0000 1
S1 0.1808 0.1808 0.3615 1
S2 0.8192 0.8192 0.6385 1
```

# 13
LaBeCo: relaxed, GGA-PBE.

ΔH_f (0 K) = -0.12 eV per formula unit
calculated total energy = -15.88 eV per formula unit
energy relative to the lowest polymorph listed for this composition = 87 meV/atom
SG = P-6m2
calculated volume = 55 Å³ per cell

```
data_LaBeCo
_chemical_formula_sum 'La1 Be1 Co1'
_space_group_name_H-M_alt 'P 1'
_space_group_IT_number 1
_cell_length_a 3.8961
_cell_length_b 3.8961
_cell_length_c 4.1550
_cell_angle_alpha 90.00
_cell_angle_beta 90.00
_cell_angle_gamma 120.00
loop_
_space_group_symop_operation_xyz
'x,y,z'
loop_
_atom_site_label
_atom_site_fract_x
_atom_site_fract_y
_atom_site_fract_z
_atom_site_occupancy
Be1 0.0000 0.0000 0.1665 1
Co1 0.6667 0.3333 0.1669 1
La1 0.3333 0.6667 0.6665 1
```

# 14
Rb3DyBi2S6: relaxed, GGA-PBE.

uncorrected formation energy = -109.9 kJ per mole of atoms
calculated total energy = -53.70 eV per formula unit
SG = C2/m
calculated volume = 346 Å³ per cell

```
data_Rb3DyBi2S6
_chemical_formula_sum 'Rb3 Dy1 Bi2 S6'
_space_group_name_H-M_alt 'P 1'
_space_group_IT_number 1
_cell_length_a 7.2109
_cell_length_b 7.2109
_cell_length_c 8.0589
_cell_angle_alpha 98.57
_cell_angle_beta 98.57
_cell_angle_gamma 119.99
loop_
_space_group_symop_operation_xyz
'x,y,z'
loop_
_atom_site_label
_atom_site_fract_x
_atom_site_fract_y
_atom_site_fract_z
_atom_site_occupancy
Rb1 0.1692 0.8308 0.5000 1
Rb2 0.8308 0.1692 0.5000 1
Rb3 0.5000 0.5000 0.5000 1
Dy1 0.0000 0.0000 0.0000 1
Bi1 0.3336 0.6664 0.0000 1
Bi2 0.6664 0.3336 0.0000 1
S1 0.9345 0.6096 0.8033 1
S2 0.7410 0.7410 0.1974 1
S3 0.0655 0.3904 0.1967 1
S4 0.6096 0.9345 0.8033 1
S5 0.2590 0.2590 0.8026 1
S6 0.3904 0.0655 0.1967 1
```